First-principles (GGA-PBE) data for a geometry-optimized Ac2MgHgO5 structure, as listed in the Alexandria database.

- SG: No. 36

Lattice parameters (Å, degrees): 3.6060 7.6027 10.4514 90.00 90.00 103.72
With the nearest neighbours (Å) after each atom.
Fractional coordinates of all 18 atoms:
O 0.4965 0.9930 0.7654  1 Hg 2.22
Ac 0.8766 0.7532 0.1942  3 O 2.40-2.67
Ac 0.1234 0.2468 0.6942  3 O 2.40-2.67
Ac 0.8626 0.7252 0.7940  6 O 2.52-2.69
Hg 0.5333 0.0666 0.9710  3 O 2.18-2.22
O 0.9183 0.8367 0.5658  1 Mg 2.05, 2 Hg 2.18
O 0.3521 0.7043 0.0084  1 Mg 2.05
O 0.6479 0.2957 0.5084  1 Mg 2.05
Hg 0.4667 0.9334 0.4710  3 O 2.18-2.22
Ac 0.1374 0.2748 0.2940  6 O 2.52-2.69
Mg 0.2133 0.4267 0.0038  2 O 2.05
O 0.5035 0.0070 0.2654  1 Hg 2.22
O 0.7158 0.4317 0.1606  3 Ac 2.40-2.56, 2 Mg 2.44
O 0.2842 0.5683 0.6606  3 Ac 2.40-2.56, 2 Mg 2.44
Mg 0.7867 0.5733 0.5038  2 O 2.05
O 0.6970 0.3940 0.8608  2 Mg 2.35, 1 Ac 2.54
O 0.3030 0.6060 0.3608  2 Mg 2.35, 1 Ac 2.54
O 0.0817 0.1633 0.0658  1 Mg 2.05, 2 Hg 2.18

First-principles (GGA-PBE) data for a geometry-optimized KTlS2 structure, as listed in the Alexandria database.

- SG: No. 62
- Offset from the most stable computed form: 121 meV per atom

Lattice parameters (Å, degrees): 7.8535 3.9077 16.0624 90.00 90.00 90.00
With the nearest neighbours (Å) after each atom.
Fractional coordinates of all 16 atoms:
K 0.4198 0.7500 0.1196  5 S 3.12-3.30
S 0.2783 0.7500 0.4858  3 Tl 2.72-2.80
S 0.7217 0.2500 0.5142  3 Tl 2.72-2.80
S 0.7783 0.7500 0.0142  3 Tl 2.72-2.80
K 0.0802 0.2500 0.6196  5 S 3.12-3.30
Tl 0.0353 0.7500 0.9002  5 S 2.60-2.80
S 0.5529 0.7500 0.3027  2 Tl 2.60
S 0.2217 0.2500 0.9858  3 Tl 2.72-2.80
Tl 0.5353 0.7500 0.5998  5 S 2.60-2.80
K 0.5802 0.2500 0.8804  5 S 3.12-3.30
Tl 0.9647 0.2500 0.0998  5 S 2.60-2.80
S 0.4471 0.2500 0.6973  2 Tl 2.60
Tl 0.4647 0.2500 0.4002  5 S 2.60-2.80
S 0.9471 0.2500 0.8027  2 Tl 2.60
K 0.9198 0.7500 0.3804  5 S 3.12-3.30
S 0.0529 0.7500 0.1973  2 Tl 2.60

First-principles (GGA-PBE) data for a geometry-optimized RbPrTe3Pb structure, as listed in the Alexandria database.

- SG: No. 11

Lattice parameters (Å, degrees): 4.5993 9.6293 12.2857 107.76 90.00 90.00
With the nearest neighbours (Å) after each atom.
Fractional coordinates of all 12 atoms:
Te 0.7500 0.8911 0.2048  1 Pb 2.98, 2 Pr 3.25
Rb 0.2500 0.2241 0.2625  5 Te 3.68-3.93, 1 Pb 4.00
Rb 0.7500 0.7759 0.7375  5 Te 3.68-3.93, 1 Pb 4.00
Pr 0.2500 0.6408 0.1539  6 Te 3.17-3.28
Te 0.2500 0.5993 0.8879  3 Pr 3.17-3.19
Te 0.7500 0.4007 0.1121  3 Pr 3.17-3.19
Pb 0.2500 0.1394 0.5612  3 Te 2.98-3.06
Te 0.2500 0.1089 0.7952  1 Pb 2.98, 2 Pr 3.25
Te 0.2500 0.6457 0.4218  2 Pb 3.06, 1 Pr 3.28
Pb 0.7500 0.8606 0.4388  3 Te 2.98-3.06
Te 0.7500 0.3543 0.5782  2 Pb 3.06, 1 Pr 3.28
Pr 0.7500 0.3592 0.8461  6 Te 3.17-3.28

Summary of ΔE_f (raw) in eV per atom
-2.3591 -0.5094 -1.0111
(order as listed above)